8
Lattice="-3.5915 3.5915 2.6072 3.5915 -3.5915 2.6072 3.5915 3.5915 -2.6072" Properties=species:S:1:pos:R:3 comment="PBE-GGA ZrCu2Pd, relaxed" total_energy_ev_per_atom=-5.363 space_group="I-42d, No. 122" formation_energy_ev_per_fu=0.481 pbc="T T T"
Zr 0.0000 0.0000 0.0000
Zr 0.0000 3.5915 1.3036
Cu 1.7957 -1.6564 1.9554
Cu 1.9351 1.7957 0.6518
Cu 1.7957 5.2479 -0.6518
Cu 1.6564 1.7957 3.2590
Pd 3.5915 0.0000 1.3036
Pd 0.0000 0.0000 2.6072

---

4
Lattice="0.0000 3.1304 3.1304 3.1304 0.0000 3.1304 3.1304 3.1304 0.0000" Properties=species:S:1:pos:R:3 comment="PBE-GGA ZrCu2Pd, relaxed" total_energy_ev_per_atom=-5.756 space_group="Fm-3m, No. 225" formation_energy_ev_per_fu=-1.092 pbc="T T T"
Zr 0.0000 0.0000 0.0000
Cu 1.5652 1.5652 1.5652
Cu 4.6956 4.6956 4.6956
Pd 3.1304 3.1304 3.1304

---

19
Lattice="5.3474 3.0873 2.9776 -5.3474 3.0873 2.9776 0.0000 -6.1746 2.9776" Properties=species:S:1:pos:R:3 comment="PBE-GGA ZrCu6Pd12, relaxed" e_above_lowest_polymorph_mev_per_atom=205 total_energy_ev_per_atom=-5.046 space_group="R-3m, No. 166" formation_energy_ev_per_fu=-0.437 pbc="T T T"
Zr 0.0000 0.0000 0.0000
Cu 0.0000 -1.5531 2.2966
Cu -1.3451 0.7766 2.2966
Cu 1.3451 0.7766 2.2966
Cu -1.3451 -0.7766 6.6361
Cu 1.3451 -0.7766 6.6361
Cu 0.0000 1.5531 6.6361
Pd -1.3860 -3.7740 2.9776
Pd -3.9614 0.6867 2.9776
Pd -2.0785 -1.2000 4.0252
Pd 1.3860 -3.7740 2.9776
Pd -2.5754 3.0873 2.9776
Pd 0.0000 -2.4000 4.9075
Pd -2.0785 1.2000 4.9075
Pd 2.0785 -1.2000 4.0252
Pd 0.0000 2.4001 4.0252
Pd 3.9614 0.6867 2.9776
Pd 2.5754 3.0873 2.9776
Pd 2.0785 1.2000 4.9075

---

4
Lattice="4.3198 0.0000 0.0000 0.0000 1.6609 5.1897 0.0000 -1.6609 5.1897" Properties=species:S:1:pos:R:3 comment="PBE-GGA Zr2CuPd, relaxed" total_energy_ev_per_atom=-6.970 space_group="Amm2, No. 38" formation_energy_ev_per_fu=-1.493 pbc="T T T"
Zr 0.0000 0.0000 0.0000
Zr 2.1599 0.0000 3.0708
Cu 0.0000 0.0000 7.5670
Pd 2.1599 0.0000 5.9346

---

8
Lattice="-3.5414 3.5414 2.7817 3.5414 -3.5414 2.7817 3.5414 3.5414 -2.7817" Properties=species:S:1:pos:R:3 comment="PBE-GGA ZrCuPd2, relaxed" total_energy_ev_per_atom=-5.916 space_group="I-42d, No. 122" formation_energy_ev_per_fu=-0.635 pbc="T T T"
Zr 0.0000 0.0000 0.0000
Zr 0.0000 3.5414 1.3908
Cu 3.5414 0.0000 1.3908
Cu 0.0000 0.0000 2.7817
Pd 1.7707 -1.6446 2.0863
Pd 1.8969 1.7707 0.6954
Pd 1.7707 5.1860 -0.6954
Pd 1.6446 1.7707 3.4771

---

9
Lattice="3.5710 -6.9323 0.0000 3.5710 6.9323 0.0000 0.0000 0.0000 3.1424" Properties=species:S:1:pos:R:3 comment="PBE-GGA Zr2CuPd6, relaxed" total_energy_ev_per_atom=-6.212 space_group="Cmmm, No. 65" formation_energy_ev_per_fu=-3.555 pbc="T T T"
Zr 3.5710 4.3071 0.0000
Zr 3.5710 -4.3071 0.0000
Cu 3.5710 0.0000 1.5712
Pd 2.1990 2.1720 1.5712
Pd 1.3725 0.0000 0.0000
Pd 2.1990 -2.1720 1.5712
Pd 4.9429 2.1720 1.5712
Pd 5.7694 0.0000 0.0000
Pd 4.9429 -2.1720 1.5712

---

6
Lattice="2.3042 -6.9292 0.0000 2.3042 6.9292 0.0000 0.0000 0.0000 3.3942" Properties=species:S:1:pos:R:3 comment="PBE-GGA Zr3Cu2Pd, relaxed" e_above_lowest_polymorph_mev_per_atom=7 total_energy_ev_per_atom=-6.773 space_group="Cmmm, No. 65" formation_energy_ev_per_fu=-1.609 pbc="T T T"
Zr 0.0000 0.0000 0.0000
Zr 2.3042 2.3514 0.0000
Zr 2.3042 -2.3514 0.0000
Cu 2.3042 4.5994 1.6971
Cu 2.3042 -4.5994 1.6971
Pd 2.3042 0.0000 1.6971

---

5
Lattice="4.8617 0.0000 0.0000 0.0000 4.8617 0.0000 0.0000 0.0000 4.8617" Properties=species:S:1:pos:R:3 comment="PBE-GGA Zr3CuPd, relaxed" e_above_lowest_polymorph_mev_per_atom=0 total_energy_ev_per_atom=-6.468 space_group="Pm-3m, No. 221" formation_energy_ev_per_fu=2.596 pbc="T T T"
Zr 0.0000 0.0000 2.4308
Zr 0.0000 2.4308 0.0000
Zr 2.4308 0.0000 0.0000
Cu 0.0000 0.0000 0.0000
Pd 2.4308 2.4308 2.4308